(1)
VASP calculation (PBE-GGA) on crystalline Y2TlReIr at its relaxed geometry.

```
5
Lattice="5.204 0.000 0.000 0.000 5.135 0.000 0.000 0.000 5.204" Properties=species:S:1:pos:R:3 pbc="T T T"
Y 0.000 0.000 2.602
Y 2.602 0.000 0.000
Tl 0.000 2.568 0.000
Re 0.000 0.000 0.000
Ir 2.602 2.568 2.602
```

Calculated values
The calculation puts the energy relative to the elements at 0.9167 eV per atom. The density is 9082 kg/m³. The raw total energy comes out at -32.020 eV for the cell shown. The magnetization is 0.174 μB/f.u.



(2)
VASP calculation (PBE-GGA) on crystalline TlZnReIr2 at its relaxed geometry.

```
5
Lattice="4.578 0.000 0.000 0.000 4.617 0.000 0.000 0.000 4.578" Properties=species:S:1:pos:R:3 pbc="T T T"
Ir 2.289 0.000 0.000
Ir 0.000 0.000 2.289
Tl 2.289 2.309 2.289
Zn 0.000 0.000 0.000
Re 0.000 2.309 0.000
```

Calculated values
The calculation puts the energy relative to the elements at 1.6230 eV per atom. The density is 14421 kg/m³. The raw total energy comes out at -25.695 eV for the cell shown. The magnetization is 2.163 μB/f.u.